Entry from Alexandria via LeMat-Bulk: a relaxed structure of Cs2AgWF6 (PBE with a Hubbard U).

Values from the calculation:
Its magnetization is 3.0 μB/cell. For the raw total energy, the calculation gives -4.71 eV/atom. The crystal system is cubic.

a = 6.532 Å, b = 6.532 Å, c = 6.532 Å
α = 60.00°, β = 60.00°, γ = 60.00°
Fractional coordinates of all 10 atoms:
1 Cs 0.250 0.250 0.250
2 Cs 0.750 0.750 0.750
3 Ag 0.000 0.000 0.000
4 W 0.500 0.500 0.500
5 F 0.270 0.270 0.730
6 F 0.270 0.730 0.270
7 F 0.270 0.730 0.730
8 F 0.730 0.270 0.270
9 F 0.730 0.270 0.730
10 F 0.730 0.730 0.270